1.
Crystalline SiNi2Ru at its relaxed geometry. Source: Alexandria, functional PBE.

Calculated values
Calculated volume ... 47.0 Å³/cell
Formation energy from raw total energies ... -162 meV per atom

Structure (POSCAR):
```
SiNi2Ru
1.0
2.701 0.000 0.000
0.000 2.701 0.000
0.000 0.000 6.445
Si Ni Ru
1 2 1
Cartesian
0.000 0.000 0.000 Si
1.350 1.350 1.380 Ni
1.350 1.350 5.065 Ni
0.000 0.000 3.223 Ru
```

2.
Crystalline TlCdFe2 at its relaxed geometry. Source: Alexandria, functional PBE.

Calculated values
Calculated volume ... 151.0 Å³/cell
Energy of formation from the pure elements ... 0.78 eV/atom

Structure (POSCAR):
```
TlCdFe2
1.0
-3.669 3.669 2.804
3.669 -3.669 2.804
3.669 3.669 -2.804
Tl Cd Fe
2 2 4
Cartesian
0.000 0.000 0.000 Tl
0.000 3.669 1.402 Tl
3.669 0.000 1.402 Cd
0.000 0.000 2.804 Cd
1.834 -1.829 2.103 Fe
1.840 1.834 0.701 Fe
1.834 5.497 -0.701 Fe
1.829 1.834 3.506 Fe
```

3.
Crystalline Te2PtF at its relaxed geometry. Source: Alexandria, functional PBE.

Calculated values
Calculated volume ... 74.4 Å³/cell
Formation energy from raw total energies ... -601 meV per atom

Structure (POSCAR):
```
Te2PtF
1.0
0.000 3.339 3.339
3.339 0.000 3.339
3.339 3.339 0.000
Te Pt F
2 1 1
Cartesian
1.669 1.669 1.669 Te
5.008 5.008 5.008 Te
0.000 0.000 0.000 Pt
3.339 3.339 3.339 F
```

4.
Crystalline SrLiCeBr6 at its relaxed geometry. Source: Alexandria, functional PBE.

Calculated values
Calculated volume ... 618.1 Å³/cell
Formation energy from raw total energies ... -1831 meV per atom

Structure (POSCAR):
```
SrLiCeBr6
1.0
7.257 0.000 0.000
-3.628 6.285 0.000
0.000 0.000 13.553
Sr Li Ce Br
2 2 2 12
Cartesian
0.000 0.000 0.000 Sr
0.000 0.000 6.777 Sr
0.000 4.190 3.388 Li
3.628 2.095 10.165 Li
0.000 4.190 10.165 Ce
3.628 2.095 3.388 Ce
-1.195 2.244 1.771 Br
-2.282 4.128 5.006 Br
1.195 2.244 5.006 Br
-1.088 6.197 1.771 Br
2.541 0.088 8.547 Br
1.346 2.157 11.782 Br
2.282 4.128 1.771 Br
1.088 6.197 5.006 Br
4.716 0.088 11.782 Br
2.434 4.040 8.547 Br
5.911 2.157 8.547 Br
4.823 4.040 11.782 Br
```

5.
Crystalline TiBePCl2 at its relaxed geometry. Source: Alexandria, functional PBE.

Calculated values
Calculated volume ... 108.5 Å³/cell
Formation energy from raw total energies ... -14 meV per atom

Structure (POSCAR):
```
TiBePCl2
1.0
4.614 0.000 0.000
0.000 4.614 0.000
0.000 0.000 5.097
Ti Be P Cl
1 1 1 2
Cartesian
0.000 0.000 0.000 Ti
2.307 2.307 2.549 Be
0.000 0.000 2.549 P
0.000 2.307 0.000 Cl
2.307 0.000 0.000 Cl
```

6.
Crystalline Y8TmSc2 at its relaxed geometry. Source: Alexandria, functional PBE.

Calculated values
Calculated volume ... 342.8 Å³/cell
Energy of formation from the pure elements ... 0.18 eV/atom

Structure (POSCAR):
```
Y8TmSc2
1.0
4.440 -7.885 0.000
4.440 7.885 0.000
-3.043 0.000 4.895
Y Tm Sc
8 1 2
Cartesian
-0.114 1.870 3.254 Y
4.440 4.593 0.000 Y
-0.114 -1.870 3.254 Y
3.126 0.000 1.011 Y
2.712 0.000 3.884 Y
5.952 1.870 1.641 Y
4.440 -4.593 0.000 Y
5.952 -1.870 1.641 Y
0.000 0.000 0.000 Tm
2.919 3.019 2.448 Sc
2.919 -3.019 2.448 Sc
```

7.
Crystalline Ce2Pr2GaGe4 at its relaxed geometry. Source: Alexandria, functional PBE.

Calculated values
Calculated volume ... 225.2 Å³/cell
Energy of formation from the pure elements ... -0.33 eV/atom

Structure (POSCAR):
```
Ce2Pr2GaGe4
1.0
-3.591 3.591 4.366
3.591 -3.591 4.366
3.591 3.591 -4.366
Ce Pr Ga Ge
2 2 1 4
Cartesian
0.000 0.000 1.572 Ce
0.000 0.000 7.160 Ce
3.591 0.000 2.183 Pr
0.000 3.591 2.183 Pr
0.000 0.000 4.366 Ga
1.818 1.818 0.000 Ge
1.773 -1.773 4.366 Ge
-1.773 1.773 4.366 Ge
1.773 1.773 4.366 Ge
```

8.
Crystalline RbBa2WBr at its relaxed geometry. Source: Alexandria, functional PBE.

Calculated values
Calculated volume ... 221.7 Å³/cell
Formation energy from raw total energies ... 699 meV per atom

Structure (POSCAR):
```
RbBa2WBr
1.0
6.650 0.000 0.000
0.000 6.650 0.000
0.000 0.000 5.014
Rb Ba W Br
1 2 1 1
Cartesian
0.000 0.000 0.000 Rb
0.000 3.325 2.507 Ba
3.325 0.000 2.507 Ba
3.325 3.325 2.507 W
3.325 3.325 0.000 Br
```

In the order shown, the computed VASP energy values come out to -0.494 -0.314 -0.305 -0.294 -0.306 -0.447 -0.375 -0.234 Ry/atom.